# 1
# AsPAu

A relaxed structure of AsPAu (PBE-GGA, the Alexandria database).

Summary:
* final energy: -4.11 eV per atom
* formation energy from the elements: 0.339 eV/atom
* polymorph energy (0 for the lowest one): 0 meV per atom

abc: 4.826 4.826 2.742
angles: 90.00 90.00 120.00
Sites, in units of the cell vectors:
1 As 0.000 0.000 0.000
2 P 0.333 0.667 0.000
3 Au 0.667 0.333 0.000



# 2
# LaHo3Mg

A relaxed structure of LaHo3Mg (PBE-GGA, the Alexandria database).

Summary:
* final energy: -4.06 eV per atom
* formation energy from the elements: -0.011 eV/atom
* polymorph energy (0 for the lowest one): 0 meV per atom

abc: 3.714 6.836 12.700
angles: 86.35 89.97 74.25
Sites, in units of the cell vectors:
1 La 0.236 0.026 0.256
2 La 0.764 0.974 0.744
3 Ho 0.036 0.428 0.686
4 Ho 0.149 0.202 0.946
5 Ho 0.368 0.766 0.523
6 Ho 0.632 0.234 0.477
7 Ho 0.851 0.798 0.054
8 Ho 0.964 0.572 0.314
9 Mg 0.449 0.601 0.875
10 Mg 0.551 0.399 0.125



# 3
# Ba2YCd

A relaxed structure of Ba2YCd (PBE-GGA, the Alexandria database).

Summary:
* final energy: -2.77 eV per atom
* formation energy from the elements: 0.039 eV/atom

abc: 4.196 5.565 7.503
angles: 90.00 106.23 90.00
Sites, in units of the cell vectors:
1 Ba 0.000 0.000 0.000
2 Ba 0.320 0.500 0.644
3 Y 0.712 0.000 0.429
4 Cd 0.602 0.500 0.205



# 4
# InHg4Pb10

A relaxed structure of InHg4Pb10 (PBE-GGA, the Alexandria database).

Summary:
* final energy: -2.66 eV per atom
* formation energy from the elements: 0.078 eV/atom

abc: 8.947 8.947 8.947
angles: 99.84 99.84 131.17
Sites, in units of the cell vectors:
1 In 0.000 0.000 0.000
2 Hg 0.200 0.599 0.799
3 Hg 0.401 0.200 0.600
4 Hg 0.599 0.800 0.400
5 Hg 0.800 0.401 0.201
6 Pb 0.051 0.151 0.698
7 Pb 0.151 0.453 0.100
8 Pb 0.250 0.750 0.500
9 Pb 0.353 0.051 0.900
10 Pb 0.453 0.353 0.302
11 Pb 0.547 0.647 0.698
12 Pb 0.647 0.949 0.100
13 Pb 0.750 0.250 0.500
14 Pb 0.849 0.547 0.900
15 Pb 0.949 0.849 0.302



# 5
# CaSi2Tc

A relaxed structure of CaSi2Tc (PBE-GGA, the Alexandria database).

Summary:
* final energy: -5.38 eV per atom
* formation energy from raw total energies: 426 meV/atom
* polymorph energy (0 for the lowest one): 881 meV per atom

abc: 4.526 4.526 4.526
angles: 60.00 60.00 60.00
Sites, in units of the cell vectors:
1 Ca 0.000 0.000 0.000
2 Si 0.250 0.250 0.250
3 Si 0.500 0.500 0.500
4 Tc 0.750 0.750 0.750



# 6
# AcMgScCd

A relaxed structure of AcMgScCd (PBE-GGA, the Alexandria database).

Summary:
* final energy: -3.33 eV per atom
* formation energy from the elements: -0.091 eV/atom

abc: 5.452 5.452 5.452
angles: 60.00 60.00 60.00
Sites, in units of the cell vectors:
1 Ac 0.000 0.000 0.000
2 Mg 0.250 0.250 0.250
3 Sc 0.500 0.500 0.500
4 Cd 0.750 0.750 0.750



# 7
# Sn2Hg2Te

A relaxed structure of Sn2Hg2Te (PBE-GGA, the Alexandria database).

Summary:
* final energy: -2.30 eV per atom
* formation energy from raw total energies: 52 meV/atom
* polymorph energy (0 for the lowest one): 14 meV per atom

abc: 8.720 8.720 3.730
angles: 90.00 90.00 90.00
Sites, in units of the cell vectors:
1 Sn 0.179 0.321 0.000
2 Sn 0.321 0.821 0.000
3 Sn 0.679 0.179 0.000
4 Sn 0.821 0.679 0.000
5 Hg 0.127 0.627 0.500
6 Hg 0.373 0.127 0.500
7 Hg 0.627 0.873 0.500
8 Hg 0.873 0.373 0.500
9 Te 0.000 0.000 0.000
10 Te 0.500 0.500 0.000



# 8
# LaBeV2Sn

A relaxed structure of LaBeV2Sn (PBE-GGA, the Alexandria database).

Summary:
* final energy: -5.67 eV per atom
* formation energy from the elements: 0.508 eV/atom

abc: 4.620 4.620 4.931
angles: 90.00 90.00 90.00
Sites, in units of the cell vectors:
1 La 0.000 0.000 0.000
2 Be 0.000 0.000 0.500
3 V 0.000 0.500 0.500
4 V 0.500 0.000 0.500
5 Sn 0.500 0.500 0.000